Material: P3OsS
Method: DFT, PBE-GGA
State: optimized geometry

Cell: 4.5782 4.5782 4.5782 Å, 90.00 90.00 90.00°
Element x y z (fractional)
P1 0.5000 0.0000 0.0000
S1 0.5000 0.5000 0.5000
P2 0.0000 0.0000 0.5000
Os1 0.0000 0.0000 0.0000
P3 0.0000 0.5000 0.0000

Summary:
Raw total energy   -5.518 eV per atom
Space-group type   Pm-3m, No. 221
Energy above the most stable polymorph in this dataset   0 meV per atom
Formation energy from raw total energies   77.1 kJ/mol of atoms

Material: POsS2
Method: DFT, PBE-GGA
State: optimized geometry

Cell: 7.5066 7.5066 7.5066 Å, 24.54 24.54 24.54°
Element x y z (fractional)
Os1 0.0000 0.0000 0.0000
S1 0.1013 0.1013 0.1013
P1 0.5000 0.5000 0.5000
S2 0.8987 0.8987 0.8987

Summary:
Raw total energy   -5.620 eV per atom
Space-group type   R-3m, No. 166
Formation energy from raw total energies   58.3 kJ/mol of atoms

Material: P2OsS2
Method: DFT, PBE-GGA
State: optimized geometry

Cell: 4.2766 4.2766 4.3046 Å, 90.00 90.00 90.00°
Element x y z (fractional)
S1 0.0000 0.5000 0.0000
S2 0.5000 0.0000 0.0000
Os1 0.5000 0.5000 0.5000
P1 0.0000 0.0000 0.0000
P2 0.0000 0.0000 0.5000

Summary:
Raw total energy   -4.786 eV per atom
Space-group type   P4/mmm, No. 123
Energy above the most stable polymorph in this dataset   534 meV per atom
Formation energy from raw total energies   123.0 kJ/mol of atoms

Material: P2OsS2
Method: DFT, PBE-GGA
State: optimized geometry

Cell: 4.7417 4.7417 4.9603 Å, 61.45 61.45 90.00°
Element x y z (fractional)
S1 0.6861 0.6861 0.6278
Os1 0.0000 0.0000 0.0000
P1 0.7500 0.2500 0.5000
S2 0.3139 0.3139 0.3722
P2 0.2500 0.7500 0.5000

Summary:
Raw total energy   -5.176 eV per atom
Space-group type   I4/mmm, No. 139
Energy above the most stable polymorph in this dataset   143 meV per atom
Formation energy from raw total energies   85.3 kJ/mol of atoms

Material: P2OsS2
Method: DFT, PBE-GGA
State: optimized geometry

Cell: 4.2964 4.2964 4.2490 Å, 90.00 90.00 90.00°
Element x y z (fractional)
S1 0.0000 0.0000 0.5000
S2 0.0000 0.0000 0.0000
P1 0.0000 0.5000 0.0000
P2 0.5000 0.0000 0.0000
Os1 0.5000 0.5000 0.5000

Summary:
Raw total energy   -4.655 eV per atom
Space-group type   P4/mmm, No. 123
Energy above the most stable polymorph in this dataset   665 meV per atom
Formation energy from raw total energies   135.6 kJ/mol of atoms

Material: POsS2
Method: DFT, PBE-GGA
State: optimized geometry

Cell: 7.5068 7.5068 7.5068 Å, 26.98 26.98 26.98°
Element x y z (fractional)
S1 0.1103 0.1103 0.1103
S2 0.8897 0.8897 0.8897
Os1 0.5000 0.5000 0.5000
P1 0.0000 0.0000 0.0000

Summary:
Raw total energy   -5.864 eV per atom
Space-group type   R-3m, No. 166
Formation energy from raw total energies   34.7 kJ/mol of atoms

> Look up the formation energy from raw total energies of the third one.

123.0 kJ/mol of atoms

> Which of these has the lowest formation energy from raw total energies?

number 6